[1]
Compound: Ho4AgSb
Source: the Alexandria database
Functional: PBE-GGA
Structure: relaxed

Cell lengths 6.7973, 7.1586, 7.7960 Å; angles 90.00, 86.30, 90.00 degrees
With the nearest neighbours (Å) after each atom.
Atoms (fractional coordinates):
Ho (0.8019, 0.6815, 0.2189)  1 Ag 2.95, 2 Sb 3.04-3.10
Ho (0.6981, 0.1815, 0.7811)  1 Ag 2.95, 2 Sb 3.04-3.10
Ho (0.3901, 0.3497, 0.3554)  2 Ag 2.86-3.01, 1 Sb 3.02
Ho (0.1099, 0.8497, 0.6446)  2 Ag 2.86-3.01, 1 Sb 3.02
Ho (0.1981, 0.3185, 0.7811)  1 Ag 2.95, 2 Sb 3.04-3.10
Ho (0.3019, 0.8185, 0.2189)  1 Ag 2.95, 2 Sb 3.04-3.10
Ho (0.6099, 0.6503, 0.6446)  2 Ag 2.86-3.01, 1 Sb 3.02
Ho (0.8901, 0.1503, 0.3554)  2 Ag 2.86-3.01, 1 Sb 3.02
Ag (0.5000, 0.0000, 0.5000)  6 Ho 2.86-3.01
Ag (0.0000, 0.5000, 0.5000)  6 Ho 2.86-3.01
Sb (0.0000, 0.0000, 0.0000)  6 Ho 3.02-3.10
Sb (0.5000, 0.5000, 0.0000)  6 Ho 3.02-3.10

Total energy   -4.41 eV/atom
Energy relative to the elements, uncorrected   -1.18 eV/f.u.
M_tot   0.0 Bohr magnetons per cell



[2]
Compound: LiNd3Al
Source: the Alexandria database
Functional: PBE-GGA
Structure: relaxed

Cell lengths 4.8052, 6.9300, 9.4085 Å; angles 90.00, 90.00, 90.00 degrees
With the nearest neighbours (Å) after each atom.
Atoms (fractional coordinates):
Li (0.7500, 0.7500, 0.4256)  7 Nd 3.29-3.39
Li (0.2500, 0.2500, 0.5744)  7 Nd 3.29-3.39
Nd (0.7500, 0.7500, 0.0648)  2 Al 3.05, 1 Li 3.39
Nd (0.2500, 0.2500, 0.9352)  2 Al 3.05, 1 Li 3.39
Nd (0.7500, 0.9915, 0.7263)  2 Al 3.21, 3 Li 3.29-3.32, 4 Nd 3.35-3.58
Nd (0.7500, 0.5085, 0.7263)  2 Al 3.21, 3 Li 3.29-3.32, 4 Nd 3.35-3.58
Nd (0.2500, 0.0085, 0.2737)  2 Al 3.21, 3 Li 3.29-3.32, 4 Nd 3.35-3.58
Nd (0.2500, 0.4915, 0.2737)  2 Al 3.21, 3 Li 3.29-3.32, 4 Nd 3.35-3.58
Al (0.7500, 0.2500, 0.1347)  6 Nd 3.05-3.21
Al (0.2500, 0.7500, 0.8653)  6 Nd 3.05-3.21

Polymorph energy (0 for the lowest one)   199 meV/atom
Total energy   -3.92 eV/atom
E_form   0.07 eV per atom
M_tot   0.0 Bohr magnetons per cell



[3]
Compound: Sc3Tl2H
Source: the Alexandria database
Functional: PBE-GGA
Structure: relaxed

Cell lengths 5.7778, 6.4213, 7.3832 Å; angles 98.11, 113.03, 90.00 degrees
With the nearest neighbours (Å) after each atom.
Atoms (fractional coordinates):
Sc (0.4374, 0.2500, 0.0000)  1 H 1.96
Sc (0.5626, 0.7500, 0.0000)  1 H 1.96
Sc (0.0475, 0.1403, 0.2181)  1 H 1.96
Sc (0.8294, 0.3597, 0.7819)  1 H 1.96
Sc (0.1706, 0.6403, 0.2181)  1 H 1.96
Sc (0.9525, 0.8597, 0.7819)  1 H 1.96
Tl (0.7237, 0.5423, 0.3830)  6 Sc 3.02-3.35, 3 Tl 3.07-3.23
Tl (0.6593, 0.0423, 0.3830)  6 Sc 3.02-3.35, 3 Tl 3.07-3.23
Tl (0.3407, 0.9577, 0.6170)  6 Sc 3.02-3.35, 3 Tl 3.07-3.23
Tl (0.2763, 0.4577, 0.6170)  6 Sc 3.02-3.35, 3 Tl 3.07-3.23
H (0.9021, 0.7500, 0.0000)  3 Sc 1.96
H (0.0979, 0.2500, 0.0000)  3 Sc 1.96

Total energy   -4.73 eV/atom
M_tot   0.0 Bohr magnetons per cell



[4]
Compound: HfScGa3
Source: the Alexandria database
Functional: PBE-GGA
Structure: relaxed

Cell lengths 4.2510, 3.3027, 13.0309 Å; angles 97.28, 90.00, 90.00 degrees
With the nearest neighbours (Å) after each atom.
Atoms (fractional coordinates):
Hf (0.2500, 0.7862, 0.5724)  7 Ga 2.83-2.92
Hf (0.7500, 0.2138, 0.4276)  7 Ga 2.83-2.92
Sc (0.2500, 0.0739, 0.1479)  12 Ga 2.95-3.13, 2 Sc 3.30
Sc (0.7500, 0.9261, 0.8521)  12 Ga 2.95-3.13, 2 Sc 3.30
Ga (0.2500, 0.3792, 0.7584)  3 Ga 2.49-2.57
Ga (0.7500, 0.6208, 0.2416)  3 Ga 2.49-2.57
Ga (0.2500, 0.4754, 0.9507)  3 Ga 2.48-2.49
Ga (0.7500, 0.5246, 0.0493)  3 Ga 2.48-2.49
Ga (0.7500, 0.3232, 0.6464)  2 Ga 2.57, 5 Hf 2.83-2.86
Ga (0.2500, 0.6768, 0.3536)  2 Ga 2.57, 5 Hf 2.83-2.86

Polymorph energy (0 for the lowest one)   0 meV/atom
Total energy   -5.59 eV/atom
E_form   -0.51 eV per atom
M_tot   0.0 Bohr magnetons per cell



[5]
Compound: HfBe3Nb
Source: the Alexandria database
Functional: PBE-GGA
Structure: relaxed

Cell lengths 4.3482, 4.3482, 4.3482 Å; angles 90.00, 90.00, 90.00 degrees
With the nearest neighbours (Å) after each atom.
Atoms (fractional coordinates):
Be (0.0000, 0.5000, 0.0000)  2 Hf 2.17
Be (0.0000, 0.0000, 0.5000)  2 Hf 2.17
Be (0.5000, 0.0000, 0.0000)  2 Hf 2.17
Nb (0.5000, 0.5000, 0.5000)  12 Be 3.07
Hf (0.0000, 0.0000, 0.0000)  6 Be 2.17

Polymorph energy (0 for the lowest one)   1767 meV/atom
Total energy   -4.61 eV/atom
E_form   1.63 eV per atom
M_tot   1.0 Bohr magnetons per cell



[6]
Compound: LaPr4Y3S8
Source: the Alexandria database
Functional: PBE-GGA
Structure: relaxed

Cell lengths 8.0556, 8.1236, 8.0558 Å; angles 119.72, 120.00, 90.00 degrees
With the nearest neighbours (Å) after each atom.
Atoms (fractional coordinates):
La (0.0000, 0.5000, 0.0000)  6 S 2.86
Pr (0.5000, 0.0000, 0.0000)  6 S 2.86
Pr (0.5000, 0.0000, 0.5000)  6 S 2.93
Pr (0.0000, 0.0000, 0.0000)  6 S 2.93
Pr (0.0000, 0.0000, 0.5000)  6 S 2.93
Y (0.5000, 0.5000, 0.0000)  6 S 2.79
Y (0.5000, 0.5000, 0.5000)  6 S 2.79
Y (0.0000, 0.5000, 0.5000)  6 S 2.79
S (0.2503, 0.7375, 0.9872)  2 Y 2.79, 3 Pr 2.86-2.93, 1 La 2.86
S (0.2503, 0.7375, 0.5005)  2 Y 2.79, 3 Pr 2.86-2.93, 1 La 2.86
S (0.2561, 0.2683, 0.5122)  3 Y 2.79, 3 Pr 2.93
S (0.7369, 0.7375, 0.9872)  2 Y 2.79, 3 Pr 2.86-2.93, 1 La 2.86
S (0.2631, 0.2625, 0.0128)  2 Y 2.79, 3 Pr 2.86-2.93, 1 La 2.86
S (0.7439, 0.7317, 0.4878)  3 Y 2.79, 3 Pr 2.93
S (0.7497, 0.2625, 0.4995)  2 Y 2.79, 3 Pr 2.86-2.93, 1 La 2.86
S (0.7497, 0.2625, 0.0128)  2 Y 2.79, 3 Pr 2.86-2.93, 1 La 2.86

Total energy   -6.80 eV/atom
Energy relative to the elements, uncorrected   -32.42 eV/f.u.
M_tot   0.0 Bohr magnetons per cell



[7]
Compound: Hg2BiH
Source: the Alexandria database
Functional: PBE-GGA
Structure: relaxed

Cell lengths 5.3763, 5.3763, 7.6157 Å; angles 69.33, 69.33, 90.00 degrees
With the nearest neighbours (Å) after each atom.
Atoms (fractional coordinates):
H (0.5000, 0.5000, 0.0000)  4 Hg 2.21
H (0.2500, 0.7500, 0.5000)  4 Hg 2.21
Bi (0.0000, 0.0000, 0.0000)  4 Hg 2.99
Bi (0.7500, 0.2500, 0.5000)  4 Hg 2.99
Hg (0.4853, 0.1250, 0.2500)  2 H 2.21
Hg (0.2647, 0.6250, 0.2500)  2 H 2.21
Hg (0.3750, 0.5147, 0.7500)  2 H 2.21
Hg (0.8750, 0.7353, 0.7500)  2 H 2.21

Polymorph energy (0 for the lowest one)   183 meV/atom
Total energy   -1.57 eV/atom
M_tot   0.0 Bohr magnetons per cell



[8]
Compound: Pu3Ga8Ag3
Source: the Alexandria database
Functional: PBE-GGA
Structure: relaxed

Cell lengths 4.4523, 8.3760, 8.3760 Å; angles 67.79, 74.59, 74.59 degrees
With the nearest neighbours (Å) after each atom.
Atoms (fractional coordinates):
Pu (0.5000, 0.5000, 0.5000)  12 Ga 3.27-3.29
Pu (0.7889, 0.2111, 0.2111)  10 Ga 3.10-3.28, 2 Ag 3.29
Pu (0.2111, 0.7889, 0.7889)  10 Ga 3.10-3.28, 2 Ag 3.29
Ga (0.6436, 0.0707, 0.6421)  3 Ga 2.64-2.73, 3 Ag 2.75-2.93
Ga (0.3564, 0.9293, 0.3579)  3 Ga 2.64-2.73, 3 Ag 2.75-2.93
Ga (0.6436, 0.6421, 0.0707)  3 Ga 2.64-2.73, 3 Ag 2.75-2.93
Ga (0.3564, 0.3579, 0.9293)  3 Ga 2.64-2.73, 3 Ag 2.75-2.93
Ga (0.8434, 0.7920, 0.5212)  4 Ga 2.53-2.73, 1 Ag 2.65
Ga (0.1566, 0.2080, 0.4788)  4 Ga 2.53-2.73, 1 Ag 2.65
Ga (0.8434, 0.5212, 0.7920)  4 Ga 2.53-2.73, 1 Ag 2.65
Ga (0.1566, 0.4788, 0.2080)  4 Ga 2.53-2.73, 1 Ag 2.65
Ag (0.5000, 0.0000, 0.0000)  4 Ga 2.75, 4 Ag 2.83
Ag (0.0000, 0.8127, 0.1873)  6 Ga 2.65-2.93, 2 Ag 2.83
Ag (0.0000, 0.1873, 0.8127)  6 Ga 2.65-2.93, 2 Ag 2.83

Total energy   -5.69 eV/atom
E_form   -0.28 eV per atom
M_tot   16.4 Bohr magnetons per cell



[9]
Compound: Tm2Pd6Pb
Source: the Alexandria database
Functional: PBE-GGA
Structure: relaxed

Cell lengths 3.3754, 7.8085, 8.0851 Å; angles 118.87, 102.18, 90.00 degrees
With the nearest neighbours (Å) after each atom.
Atoms (fractional coordinates):
Tm (0.6671, 0.6663, 0.3326)  8 Pd 2.79-2.83
Tm (0.3329, 0.3337, 0.6674)  8 Pd 2.79-2.83
Pd (0.1672, 0.3789, 0.3333)  3 Tm 2.81-2.83, 1 Pb 2.83, 4 Pd 2.90-2.92
Pd (0.8328, 0.0456, 0.6667)  3 Tm 2.81-2.83, 1 Pb 2.83, 4 Pd 2.90-2.92
Pd (0.8328, 0.6211, 0.6667)  3 Tm 2.81-2.83, 1 Pb 2.83, 4 Pd 2.90-2.92
Pd (0.5000, 0.2949, 0.0000)  2 Tm 2.79, 2 Pb 2.86, 4 Pd 2.91-2.92
Pd (0.1672, 0.9544, 0.3333)  3 Tm 2.81-2.83, 1 Pb 2.83, 4 Pd 2.90-2.92
Pd (0.5000, 0.7051, 0.0000)  2 Tm 2.79, 2 Pb 2.86, 4 Pd 2.91-2.92
Pb (0.0000, 0.0000, 0.0000)  8 Pd 2.83-2.86

Total energy   -5.36 eV/atom
E_form   -0.49 eV per atom
M_tot   0.0 Bohr magnetons per cell